# GGA-PBEsol MnCoO3, optimized geometry
data_MnCoO3
_chemical_formula_sum 'Mn6 Co6 O18'
_cell_length_a 4.8122
_cell_length_b 4.8122
_cell_length_c 13.6450
_cell_angle_alpha 90.00
_cell_angle_beta 90.00
_cell_angle_gamma 120.00
_symmetry_space_group_name_H-M 'R -3'
_symmetry_Int_Tables_number 148
_symmetry_space_group_name_Hall '-R 3'
loop_
_atom_site_label
_atom_site_type_symbol
_atom_site_fract_x
_atom_site_fract_y
_atom_site_fract_z
Mn1 Mn 0.0000 0.0000 0.1542
Co1 Co 0.0000 0.0000 0.3555
O1 O 0.0127 0.3162 0.7541
# Density of states at the Fermi level   16.8 states/eV/cell
# Uncorrected formation energy   -1.37 eV per atom